Entry 1:
Density functional theory data (GGA-PBE) for BaSiRu after structural relaxation.

Cell lengths 4.105, 4.105, 5.168 Å; angles 90.00, 90.00, 120.00 degrees
Fractional positions:
Ba (0.000, 0.000, 0.000)
Si (0.333, 0.667, 0.500)
Ru (0.667, 0.333, 0.500)

DOS(E_F)   0.611 states/eV/atom
E   -5.819 eV per atom
Symmetry   P-6m2

Entry 2:
Density functional theory data (GGA-PBE) for BaSiRu after structural relaxation.

Cell lengths 4.899, 4.899, 4.899 Å; angles 60.00, 60.00, 60.00 degrees
Fractional positions:
Ba (0.000, 0.000, 0.000)
Si (0.250, 0.250, 0.250)
Ru (0.750, 0.750, 0.750)

DOS(E_F)   1.511 states/eV/atom
E   -4.000 eV per atom
Symmetry   F-43m

Entry 3:
Density functional theory data (GGA-PBE) for Ba3SiRu after structural relaxation.

Cell lengths 5.734, 5.734, 5.734 Å; angles 90.00, 90.00, 90.00 degrees
Fractional positions:
Ba (0.000, 0.000, 0.500)
Ba (0.000, 0.500, 0.000)
Ba (0.500, 0.000, 0.000)
Si (0.500, 0.500, 0.500)
Ru (0.000, 0.000, 0.000)

DOS(E_F)   1.252 states/eV/atom
E   -3.751 eV per atom
Symmetry   Pm-3m

Entry 4:
Density functional theory data (GGA-PBE) for BaSi3Ru after structural relaxation.

Cell lengths 4.788, 4.788, 4.788 Å; angles 90.00, 90.00, 90.00 degrees
Fractional positions:
Ba (0.000, 0.000, 0.000)
Si (0.000, 0.500, 0.500)
Si (0.500, 0.000, 0.500)
Si (0.500, 0.500, 0.000)
Ru (0.500, 0.500, 0.500)

DOS(E_F)   0.827 states/eV/atom
Polymorph energy (0 for the lowest one)   0.00 eV/f.u.
E   -5.428 eV per atom
Symmetry   Pm-3m

Entry 5:
Density functional theory data (GGA-PBE) for BaSiRu after structural relaxation.

Cell lengths 6.441, 6.441, 6.441 Å; angles 150.56, 150.56, 42.12 degrees
Fractional positions:
Ba (0.000, 0.000, 0.000)
Si (0.285, 0.285, 0.000)
Ru (0.711, 0.711, 0.000)

DOS(E_F)   0.095 states/eV/atom
E   -5.676 eV per atom
Symmetry   I4mm

Entry 6:
Density functional theory data (GGA-PBE) for BaSi4Ru after structural relaxation.

Cell lengths 5.422, 5.422, 5.422 Å; angles 60.00, 60.00, 60.00 degrees
Fractional positions:
Ba (0.000, 0.000, 0.000)
Si (0.381, 0.381, 0.381)
Si (0.381, 0.381, 0.857)
Si (0.381, 0.857, 0.381)
Si (0.857, 0.381, 0.381)
Ru (0.750, 0.750, 0.750)

DOS(E_F)   0.997 states/eV/atom
E   -4.930 eV per atom
Symmetry   F-43m

Entry 7:
Density functional theory data (GGA-PBE) for Ba4SiRu after structural relaxation.

Cell lengths 6.830, 6.830, 6.830 Å; angles 60.00, 60.00, 60.00 degrees
Fractional positions:
Ba (0.125, 0.125, 0.125)
Ba (0.125, 0.125, 0.624)
Ba (0.125, 0.624, 0.125)
Ba (0.624, 0.125, 0.125)
Si (0.500, 0.500, 0.500)
Ru (0.750, 0.750, 0.750)

DOS(E_F)   1.664 states/eV/atom
E   -2.625 eV per atom
Symmetry   F-43m

Entry 8:
Density functional theory data (GGA-PBE) for BaSiRu4 after structural relaxation.

Cell lengths 5.377, 5.377, 5.377 Å; angles 60.00, 60.00, 60.00 degrees
Fractional positions:
Ba (0.000, 0.000, 0.000)
Si (0.250, 0.250, 0.250)
Ru (0.132, 0.623, 0.623)
Ru (0.623, 0.132, 0.623)
Ru (0.623, 0.623, 0.132)
Ru (0.623, 0.623, 0.623)

DOS(E_F)   1.570 states/eV/atom
E   -6.672 eV per atom
Symmetry   F-43m

What did the seventh record say?
Density functional theory data (GGA-PBE) for Ba4SiRu after structural relaxation.

Cell lengths 6.830, 6.830, 6.830 Å; angles 60.00, 60.00, 60.00 degrees
Fractional positions:
Ba (0.125, 0.125, 0.125)
Ba (0.125, 0.125, 0.624)
Ba (0.125, 0.624, 0.125)
Ba (0.624, 0.125, 0.125)
Si (0.500, 0.500, 0.500)
Ru (0.750, 0.750, 0.750)

DOS(E_F)   1.664 states/eV/atom
E   -2.625 eV per atom
Symmetry   F-43m

The lowest DOS(E_F) belongs to which entry? number 5

Which of these has the lowest E? BaSiRu4

Which of these has the lowest E? BaSiRu4